[1]
12
Lattice="1.353 2.774 4.557 -0.637 -2.343 4.939 8.408 -3.068 2.695" Properties=species:S:1:pos:R:3 comment="Er2NpAl9 GGA-PBE optimized geometry" magmom_total_mub_per_fu=4.60 dft_energy_ev_per_cell=-59.02 formation_enthalpy_0k_ev_per_atom=-0.27 crystal_system=trigonal pbc="T T T"
Er 4.155 -0.921 9.298
Er 4.969 -1.716 2.893
Np 0.000 0.000 0.000
Al 0.512 0.274 6.329
Al 8.612 -2.911 5.862
Al 4.562 -1.318 6.096
Al 2.400 -0.589 4.603
Al 3.088 0.822 6.921
Al 2.076 -1.781 7.115
Al 6.724 -2.047 7.588
Al 7.048 -0.856 5.076
Al 6.036 -3.459 5.270

[2]
8
Lattice="-1.944 -1.472 3.998 -5.268 -1.094 -2.964 4.249 -4.414 0.440" Properties=species:S:1:pos:R:3 comment="ErNpAl6 GGA-PBE optimized geometry" magmom_total_mub_per_fu=4.17 dft_energy_ev_per_cell=-42.07 formation_enthalpy_0k_ev_per_atom=-0.26 crystal_system=hexagonal pbc="T T T"
Er 3.455 -4.137 0.156
Np -0.687 -3.767 1.021
Al 1.411 -1.847 0.006
Al 0.862 -4.810 -1.352
Al -1.421 -2.436 -1.588
Al -2.900 -1.653 0.724
Al -3.367 -4.174 -0.431
Al -5.313 -2.154 -0.633

[3]
18
Lattice="-2.180 -3.570 -3.146 5.047 -0.411 1.324 -2.462 -5.314 7.736" Properties=species:S:1:pos:R:3 comment="ErNpAlO6 GGA-PBE optimized geometry" raw_formation_energy_ev_per_atom=-3.041 magmom_total_mub_per_fu=1.00 dft_energy_ev_per_cell=-156.73 crystal_system=trigonal pbc="T T T"
Er 0.000 0.000 0.000
Er -1.231 -2.657 3.868
Np -0.386 -3.846 0.278
Np 0.792 -5.449 5.636
Al 2.023 -2.793 1.768
Al -1.617 -6.502 4.146
O 1.585 -3.285 -0.059
O 1.444 -0.959 1.494
O -2.264 -4.699 3.830
O -1.039 -8.336 4.420
O 0.194 -3.291 2.193
O 2.385 -2.258 3.600
O -3.452 -6.929 4.618
O 2.670 -4.597 2.084
O -1.980 -7.037 2.314
O 3.858 -2.367 1.295
O 0.211 -6.004 3.721
O -1.179 -6.010 5.973

[4]
10
Lattice="-3.168 -4.129 -0.484 0.950 -4.357 2.727 -3.449 -1.172 4.339" Properties=species:S:1:pos:R:3 comment="ErAlO3 GGA-PBE optimized geometry" raw_formation_energy_ev_per_atom=-3.202 magmom_total_mub_per_fu=0.00 dft_energy_ev_per_cell=-78.38 crystal_system=trigonal pbc="T T T"
Er -3.914 -4.168 4.722
Er -1.754 -5.489 1.859
Al -3.479 -7.715 3.914
Al -2.188 -1.943 2.667
O -4.623 -6.072 3.967
O -1.853 -4.473 5.319
O -3.870 -2.814 3.031
O -1.045 -3.586 2.614
O -3.815 -5.185 1.263
O -1.797 -6.844 3.550

[5]
80
Lattice="10.433 0.000 0.000 -3.478 9.837 0.000 -3.478 -4.918 8.519" Properties=species:S:1:pos:R:3 comment="Er3Al5O12 GGA-PBE optimized geometry" raw_formation_energy_ev_per_atom=-3.295 magmom_total_mub_per_fu=0.00 dft_energy_ev_per_cell=-631.18 crystal_system=cubic pbc="T T T"
Er 4.347 4.304 5.324
Er 6.086 4.918 2.130
Er 0.869 4.918 6.389
Er -2.608 5.533 5.324
Er 2.608 1.844 7.454
Er 2.608 -1.844 7.454
Er -0.869 0.615 3.195
Er -2.608 0.000 6.389
Er 2.608 0.000 2.130
Er 6.086 -0.615 3.195
Er 0.869 3.074 1.065
Er 0.869 6.763 1.065
Al -4.347 3.074 7.454
Al 7.825 1.844 1.065
Al 4.347 0.615 5.324
Al -2.608 7.377 2.130
Al -0.869 -3.074 7.454
Al -0.869 2.459 6.389
Al 0.869 -0.615 5.324
Al 6.086 -2.459 6.389
Al 4.347 2.459 2.130
Al 4.347 7.992 1.065
Al -0.869 4.304 3.195
Al 2.608 5.533 3.195
Al 3.478 -2.459 4.259
Al -1.739 4.918 0.000
Al 1.739 2.459 4.259
Al -1.739 -2.459 4.259
Al 0.000 0.000 0.000
Al -3.478 2.459 4.259
Al 3.478 4.918 0.000
Al 5.217 0.000 0.000
O 7.505 3.555 0.692
O -3.612 6.683 3.425
O 3.343 2.084 5.278
O 3.343 -3.849 8.334
O 1.190 -0.082 6.992
O -1.265 4.144 6.808
O -3.952 3.554 5.786
O 0.851 -3.531 7.500
O 4.366 3.531 7.500
O 4.366 -2.648 5.970
O -0.474 5.508 4.444
O -2.589 4.035 3.567
O 4.668 3.637 0.834
O 4.668 6.281 0.692
O 3.004 5.693 6.808
O 1.873 3.849 8.334
O 5.351 3.154 3.425
O 2.213 4.328 4.444
O 4.328 5.801 3.567
O -0.888 1.388 1.019
O 7.505 6.199 0.834
O -4.743 6.283 5.786
O 4.027 0.082 6.992
O 1.873 -2.084 5.278
O -4.027 1.363 7.826
O 7.090 -1.764 5.094
O 0.135 2.834 3.241
O 0.135 8.767 0.185
O 2.288 5.000 1.526
O 4.743 0.775 1.711
O 7.429 1.365 2.733
O 2.627 8.449 1.019
O 1.604 7.002 3.241
O -0.549 4.836 1.526
O 8.221 -1.365 2.733
O 2.627 2.271 2.548
O -4.027 -1.281 7.685
O -0.851 -0.883 4.952
O 1.265 0.590 4.075
O -1.873 1.764 5.094
O 1.604 1.070 0.185
O 0.474 -0.775 1.711
O -1.190 -1.363 7.826
O -1.190 1.281 7.685
O 6.067 0.883 4.952
O 3.952 -0.590 4.075
O -0.888 7.566 2.548
O 0.851 2.648 5.970

[6]
4
Lattice="3.091 0.000 0.000 1.546 2.677 0.000 1.546 0.892 6.338" Properties=species:S:1:pos:R:3 comment="ErAlO2 GGA-PBE optimized geometry" raw_formation_energy_ev_per_atom=-2.277 magmom_total_mub_per_fu=0.00 dft_energy_ev_per_cell=-27.33 crystal_system=trigonal pbc="T T T"
Al 3.091 1.785 3.169
O 1.546 0.892 4.101
O 4.637 2.677 2.237
Er 0.000 0.000 0.000

[7]
20
Lattice="-1.332 -5.174 -0.195 5.655 -1.602 3.879 -4.969 1.096 4.868" Properties=species:S:1:pos:R:3 comment="Er3AlO6 GGA-PBE optimized geometry" raw_formation_energy_ev_per_atom=-3.480 magmom_total_mub_per_fu=0.00 e_above_lowest_polymorph_ev_per_fu=0.000 dft_energy_ev_per_cell=-163.96 crystal_system=orthorhombic pbc="T T T"
Er 1.042 -3.163 6.863
Er -1.873 -5.178 6.974
Er -1.319 -2.204 4.391
Er 0.192 -5.343 4.091
Er -2.294 -4.867 1.600
Er 0.621 -2.852 1.489
Al -2.919 0.509 4.673
Al 2.906 -3.727 3.971
O 0.352 -1.439 5.721
O -0.658 -3.938 5.656
O -2.310 -0.616 5.924
O 2.064 -4.484 5.357
O -4.692 0.258 4.798
O -3.602 -3.009 4.523
O 3.137 -1.964 4.055
O 4.340 -4.792 3.797
O -2.521 -0.460 3.222
O 1.853 -4.327 2.655
O 0.132 -1.276 2.914
O -0.879 -3.776 2.848

[8]
7
Lattice="-0.083 -1.725 3.888 -1.374 -3.670 -1.658 5.181 -1.657 -0.625" Properties=species:S:1:pos:R:3 comment="ErAl2O4 GGA-PBE optimized geometry" raw_formation_energy_ev_per_atom=-2.751 magmom_total_mub_per_fu=0.00 e_above_lowest_polymorph_ev_per_fu=0.859 dft_energy_ev_per_cell=-51.14 crystal_system=tetragonal pbc="T T T"
Er 0.000 0.000 0.000
Al 2.549 -1.691 1.632
Al 1.903 -2.663 -1.141
O 3.138 -3.319 2.137
O 1.303 -1.818 0.334
O 2.464 -4.334 -0.758
O 0.543 -4.634 1.498

[9]
10
Lattice="-0.565 3.028 1.544 0.038 -2.901 1.859 11.267 1.236 1.698" Properties=species:S:1:pos:R:3 comment="ErAlO3 GGA-PBE optimized geometry" raw_formation_energy_ev_per_atom=-3.279 magmom_total_mub_per_fu=0.00 dft_energy_ev_per_cell=-79.15 crystal_system=hexagonal pbc="T T T"
Er 0.000 0.000 0.000
Er 5.634 0.618 0.849
Al 2.654 -0.616 2.179
Al 8.086 1.979 2.923
O 0.861 -0.812 1.908
O 4.447 -0.419 2.449
O 2.817 0.309 0.424
O 8.450 0.927 1.273
O 9.880 2.176 3.193
O 6.293 1.782 2.652

[10]
5
Lattice="3.695 0.000 0.000 0.000 3.695 0.000 0.000 0.000 3.695" Properties=species:S:1:pos:R:3 comment="ErAlO3 GGA-PBE optimized geometry" raw_formation_energy_ev_per_atom=-3.178 magmom_total_mub_per_fu=0.00 dft_energy_ev_per_cell=-39.07 crystal_system=cubic pbc="T T T"
Al 0.000 0.000 0.000
O 0.000 1.848 0.000
O 0.000 0.000 1.848
O 1.848 0.000 0.000
Er 1.848 1.848 1.848

[11]
14
Lattice="5.611 0.000 2.826 2.881 5.507 1.264 0.617 -0.156 5.758" Properties=species:S:1:pos:R:3 comment="ErAl2O4 GGA-PBE optimized geometry" raw_formation_energy_ev_per_atom=-2.873 magmom_total_mub_per_fu=0.00 e_above_lowest_polymorph_ev_per_fu=0.000 dft_energy_ev_per_cell=-103.99 crystal_system=monoclinic pbc="T T T"
Er 6.290 2.676 5.798
Er 0.869 -0.156 5.885
Al 4.417 3.531 3.307
Al 3.173 1.820 5.776
Al 7.606 4.787 7.752
Al 3.032 0.564 2.866
O 2.082 1.207 4.446
O 4.783 1.078 5.822
O 2.699 4.144 3.222
O 4.444 1.789 3.254
O 3.147 3.563 5.829
O 5.412 4.274 4.573
O 1.819 1.347 1.579
O 5.850 4.004 7.544

[12]
20
Lattice="6.385 -0.067 -0.069 -0.206 6.382 -0.069 -0.206 -0.211 6.379" Properties=species:S:1:pos:R:3 comment="Er3AlO6 GGA-PBE optimized geometry" raw_formation_energy_ev_per_atom=-3.461 magmom_total_mub_per_fu=0.00 e_above_lowest_polymorph_ev_per_fu=0.191 dft_energy_ev_per_cell=-163.58 crystal_system=trigonal pbc="T T T"
Er 2.433 5.743 4.656
Er 5.689 4.598 2.660
Er 1.499 3.573 0.396
Er 4.474 2.531 5.845
Er 0.284 1.505 3.581
Er 3.539 0.361 1.584
Al 0.000 0.000 0.000
Al 2.986 3.052 3.120
O 1.674 5.886 0.352
O 0.125 5.791 4.431
O 3.467 4.920 2.816
O 5.787 4.425 0.349
O 2.630 3.525 4.981
O 1.129 3.367 2.606
O 4.843 2.736 3.634
O 3.342 2.579 1.259
O 0.185 1.679 5.892
O 2.506 1.184 3.424
O 5.848 0.312 1.809
O 4.298 0.218 5.888

[13]
20
Lattice="5.174 0.000 0.000 0.000 5.377 0.000 0.000 0.000 7.399" Properties=species:S:1:pos:R:3 comment="ErAlO3 GGA-PBE optimized geometry" raw_formation_energy_ev_per_atom=-3.346 magmom_total_mub_per_fu=0.00 dft_energy_ev_per_cell=-159.64 crystal_system=orthorhombic pbc="T T T"
Er 0.076 5.054 5.549
Er 2.511 2.366 5.549
Er 2.663 3.012 1.850
Er 5.098 0.323 1.850
Al 0.000 2.689 0.000
Al 0.000 2.689 3.699
Al 2.587 0.000 0.000
Al 2.587 0.000 3.699
O 0.481 2.545 1.850
O 1.046 1.089 4.059
O 1.046 1.089 7.039
O 1.541 3.778 7.039
O 1.541 3.778 4.059
O 2.106 5.233 1.850
O 3.068 0.144 5.549
O 3.633 1.600 0.359
O 3.633 1.600 3.340
O 4.128 4.289 0.359
O 4.128 4.289 3.340
O 4.693 2.833 5.549

[14]
7
Lattice="4.542 0.000 0.000 0.000 4.542 0.000 -2.271 -2.271 7.903" Properties=species:S:1:pos:R:3 comment="Er4Al2O GGA-PBE optimized geometry" raw_formation_energy_ev_per_atom=-1.009 magmom_total_mub_per_fu=0.00 dft_energy_ev_per_cell=-37.76 crystal_system=tetragonal pbc="T T T"
Al 2.271 2.271 2.146
Al 0.000 0.000 5.757
O 0.000 0.000 0.000
Er 2.271 2.271 5.199
Er 0.000 0.000 2.704
Er 0.000 2.271 0.000
Er 2.271 0.000 0.000

[15]
10
Lattice="-3.031 -0.966 -1.268 -0.948 -3.074 4.606 -2.512 4.564 2.529" Properties=species:S:1:pos:R:3 comment="ErAlO3 GGA-PBE optimized geometry" raw_formation_energy_ev_per_atom=-3.281 magmom_total_mub_per_fu=0.00 dft_energy_ev_per_cell=-79.17 crystal_system=orthorhombic pbc="T T T"
Er -1.547 -0.591 4.148
Er -1.835 2.331 2.612
Al -4.199 1.221 4.483
Al -2.124 -0.152 0.567
O -2.933 0.107 2.304
O -4.084 2.707 3.077
O -2.414 1.493 4.633
O -3.869 -0.590 5.073
O -0.768 0.899 1.150
O -2.516 -2.539 3.324

[16]
14
Lattice="5.797 0.000 0.295 0.000 5.696 0.000 -1.936 0.000 6.696" Properties=species:S:1:pos:R:3 comment="ErAlPbO4 GGA-PBE optimized geometry" raw_formation_energy_ev_per_atom=-2.560 magmom_total_mub_per_fu=0.00 dft_energy_ev_per_cell=-99.54 crystal_system=monoclinic pbc="T T T"
Er 3.851 4.272 3.131
Er 0.010 1.424 3.859
Al 0.986 4.272 2.385
Al 2.875 1.424 4.606
Pb 2.362 4.272 6.130
Pb 1.499 1.424 0.860
O 4.030 2.768 4.800
O -0.169 5.616 2.190
O -0.169 2.928 2.190
O 4.030 0.080 4.800
O 2.434 4.272 1.377
O 1.427 1.424 5.613
O 1.654 4.272 4.021
O 2.208 1.424 2.969

[17]
10
Lattice="-1.991 0.600 -4.847 2.725 -4.166 -1.635 -4.015 -3.122 1.262" Properties=species:S:1:pos:R:3 comment="Er2AlPbO6 GGA-PBE optimized geometry" raw_formation_energy_ev_per_atom=-2.498 magmom_total_mub_per_fu=0.00 dft_energy_ev_per_cell=-71.31 crystal_system=tetragonal pbc="T T T"
Er -0.583 -1.496 -5.555
Er -3.953 -0.974 -4.107
Al -1.196 0.361 -2.913
Pb -1.714 -3.322 -2.789
O -1.781 -1.252 -3.692
O -3.925 -2.919 -3.018
O -0.881 -3.573 -0.762
O -0.518 0.156 -1.260
O -2.470 -5.143 -3.891
O -0.326 -3.476 -4.565

[18]
10
Lattice="4.992 0.000 0.000 0.000 5.355 0.000 0.000 0.000 5.355" Properties=species:S:1:pos:R:3 comment="Pm2ErAlO6 GGA-PBE optimized geometry" raw_formation_energy_ev_per_atom=-3.210 magmom_total_mub_per_fu=0.00 dft_energy_ev_per_cell=-79.66 crystal_system=tetragonal pbc="T T T"
Pm 0.004 2.678 0.000
Pm 0.004 0.000 2.678
Er 2.841 2.678 2.678
Al 2.986 0.000 0.000
O 3.617 1.254 1.254
O 3.617 1.254 4.101
O 0.711 2.678 2.678
O 1.185 0.000 0.000
O 3.617 4.101 4.101
O 3.617 4.101 1.254